Compound: K2LiGaH6
Source: Alexandria via LeMat-Bulk
Functional: GGA-PBE
Structure: optimized geometry

abc: 4.803 5.621 5.621
angles: 120.00 90.00 90.00
Atoms (fractional coordinates):
Li 0.500 0.000 0.000
Ga 0.000 0.000 0.000
H 0.224 0.853 0.706
H 0.224 0.853 0.147
H 0.776 0.147 0.853
H 0.776 0.147 0.294
H 0.776 0.706 0.853
H 0.224 0.294 0.147
K 0.242 0.333 0.667
K 0.758 0.667 0.333

Symmetry ... P-3m1
E_tot ... -28.95 eV per formula unit



Compound: BeAl2W
Source: Alexandria via LeMat-Bulk
Functional: GGA-PBE
Structure: optimized geometry

abc: 4.843 4.843 3.643
angles: 67.91 67.91 44.18
Atoms (fractional coordinates):
W 0.250 0.250 0.250
Al 0.750 0.750 0.750
Al 0.000 0.000 0.000
Be 0.500 0.500 0.500

Energy of formation from the pure elements ... -0.110 eV/atom
Symmetry ... I-4m2



Compound: PtRhS
Source: Alexandria via LeMat-Bulk
Functional: GGA-PBE
Structure: optimized geometry

abc: 3.016 3.016 6.547
angles: 76.68 76.68 60.00
Atoms (fractional coordinates):
Pt 0.142 0.142 0.574
S 0.262 0.262 0.214
Rh 0.003 0.003 0.990

Distance to the lowest polymorph of the same formula ... 141 meV/atom
Symmetry ... R3m
ΔE_f (raw) ... 0.005 eV/atom



Compound: Pm6NbO12
Source: Alexandria via LeMat-Bulk
Functional: GGA-PBE
Structure: optimized geometry

abc: 6.682 6.682 6.682
angles: 98.64 98.64 98.64
Last column: magnetic moment on the atom in μB.
Atoms (fractional coordinates):
O 0.588 0.177 0.441  0.15
O 0.559 0.412 0.823  0.15
O 0.412 0.823 0.559  0.15
O 0.701 0.931 0.040  0.01
O 0.441 0.588 0.177  0.15
O 0.069 0.960 0.299  0.01
O 0.960 0.299 0.069  0.01
O 0.823 0.559 0.412  0.15
O 0.177 0.441 0.588  0.15
O 0.040 0.701 0.931  0.01
O 0.299 0.069 0.960  0.01
O 0.931 0.040 0.701  0.01
Pm 0.299 0.140 0.611  0.00
Pm 0.701 0.860 0.389  0.00
Pm 0.860 0.389 0.701  0.00
Pm 0.611 0.299 0.140  0.00
Pm 0.140 0.611 0.299  0.00
Pm 0.389 0.701 0.860  0.00
Nb 0.000 0.000 0.000  -0.01

Symmetry ... R-3
ΔE_f (raw) ... -3.203 eV/atom



Compound: ZnSe2Br
Source: Alexandria via LeMat-Bulk
Functional: GGA-PBE
Structure: optimized geometry

abc: 7.602 7.602 3.464
angles: 90.00 90.00 142.42
Atoms (fractional coordinates):
Se 0.000 0.000 0.000
Se 0.500 0.500 0.000
Zn 0.500 0.000 0.500
Br 0.000 0.500 0.500

Distance to the lowest polymorph of the same formula ... 525 meV/atom
Symmetry ... Cmmm
ΔE_f (raw) ... 0.234 eV/atom



Compound: CsKZnTe2
Source: Alexandria via LeMat-Bulk
Functional: GGA-PBE
Structure: optimized geometry

abc: 7.420 6.047 8.915
angles: 90.00 90.00 90.00
Atoms (fractional coordinates):
Te 0.192 0.750 0.785
Te 0.808 0.250 0.215
Te 0.808 0.250 0.785
Te 0.192 0.750 0.215
K 0.600 0.750 0.000
K 0.400 0.250 0.000
Cs 0.779 0.750 0.500
Cs 0.221 0.250 0.500
Zn 0.000 0.000 0.000
Zn 0.000 0.500 0.000

Symmetry ... Pmma
ΔE_f (raw) ... -0.623 eV/atom



Compound: YNb2Tl
Source: Alexandria via LeMat-Bulk
Functional: GGA-PBE
Structure: optimized geometry

abc: 8.142 8.142 6.443
angles: 50.82 50.82 90.00
Atoms (fractional coordinates):
Y 0.250 0.750 0.500
Y 0.500 0.500 0.000
Nb 0.875 0.898 0.750
Nb 0.648 0.125 0.250
Nb 0.102 0.625 0.250
Nb 0.375 0.352 0.750
Tl 0.750 0.250 0.500
Tl 0.000 0.000 0.000

Energy of formation from the pure elements ... 0.762 eV/atom
Distance to the lowest polymorph of the same formula ... 228 meV/atom
Symmetry ... I-42d



Compound: SmMgHg6
Source: Alexandria via LeMat-Bulk
Functional: GGA-PBE
Structure: optimized geometry

abc: 4.968 6.548 6.548
angles: 114.44 90.00 90.00
Atoms (fractional coordinates):
Hg 0.000 0.088 0.391
Hg 0.500 0.920 0.080
Hg 0.500 0.429 0.117
Hg 0.000 0.577 0.423
Hg 0.000 0.609 0.912
Hg 0.500 0.883 0.571
Mg 0.500 0.382 0.618
Sm 0.000 0.111 0.889

Energy of formation from the pure elements ... -0.217 eV/atom
Distance to the lowest polymorph of the same formula ... 0 meV/atom
Symmetry ... Amm2



Compound: Ca3Pr12Dy
Source: Alexandria via LeMat-Bulk
Functional: GGA-PBE
Structure: optimized geometry

abc: 5.257 5.257 21.033
angles: 90.00 90.00 90.00
Atoms (fractional coordinates):
Ca 0.000 0.000 0.500
Ca 0.000 0.000 0.752
Ca 0.000 0.000 0.248
Pr 0.500 0.500 0.751
Pr 0.000 0.500 0.879
Pr 0.500 0.000 0.626
Pr 0.500 0.500 0.000
Pr 0.000 0.500 0.121
Pr 0.500 0.000 0.374
Pr 0.500 0.500 0.500
Pr 0.500 0.500 0.249
Pr 0.500 0.000 0.121
Pr 0.000 0.500 0.626
Pr 0.500 0.000 0.879
Pr 0.000 0.500 0.374
Dy 0.000 0.000 0.000

Energy of formation from the pure elements ... 0.047 eV/atom
Symmetry ... P4/mmm



Compound: Ac2PrSmBi4
Source: Alexandria via LeMat-Bulk
Functional: GGA-PBE
Structure: optimized geometry

abc: 4.742 8.216 8.208
angles: 70.56 90.00 90.00
Atoms (fractional coordinates):
Bi 0.000 0.264 0.248
Bi 0.500 0.266 0.743
Bi 0.000 0.736 0.752
Bi 0.500 0.734 0.257
Ac 0.500 0.000 0.500
Ac 0.000 0.000 0.000
Sm 0.000 0.500 0.500
Pr 0.500 0.500 0.000

Energy of formation from the pure elements ... -0.962 eV/atom
Symmetry ... P2/m



Compound: MgTeN2
Source: Alexandria via LeMat-Bulk
Functional: GGA-PBE
Structure: optimized geometry

abc: 4.128 4.128 4.128
angles: 60.00 60.00 60.00
Atoms (fractional coordinates):
Te 0.500 0.500 0.500
Mg 0.000 0.000 0.000
N 0.250 0.250 0.250
N 0.750 0.750 0.750

Distance to the lowest polymorph of the same formula ... 923 meV/atom
Symmetry ... Fm-3m
ΔE_f (raw) ... 1.012 eV/atom



Compound: Zr3V4Fe4
Source: Alexandria via LeMat-Bulk
Functional: GGA-PBE
Structure: optimized geometry

abc: 6.084 6.084 6.084
angles: 109.47 109.47 109.47
Atoms (fractional coordinates):
Fe 0.000 0.000 0.636
Fe 0.000 0.636 0.000
Fe 0.364 0.364 0.364
Fe 0.636 0.000 0.000
V 0.704 0.704 0.704
V 0.000 0.296 0.000
V 0.296 0.000 0.000
V 0.000 0.000 0.296
Zr 0.500 0.000 0.500
Zr 0.000 0.500 0.500
Zr 0.500 0.500 0.000

Energy of formation from the pure elements ... 0.054 eV/atom
Symmetry ... I-43m